The following is a PBE calculation of an optimized crystal structure of YHO3, from Alexandria.

Geometry as CIF:
```
data_YHO3
_cell_length_a 4.430
_cell_length_b 4.430
_cell_length_c 4.430
_cell_angle_alpha 90.00
_cell_angle_beta 90.00
_cell_angle_gamma 90.00
_space_group_name_H-M_alt 'P m -3 m'
_space_group_IT_number 221
_space_group_name_Hall '-P 4 2 3'
loop_
_atom_site_label
_atom_site_type_symbol
_atom_site_fract_x
_atom_site_fract_y
_atom_site_fract_z
Y1 Y 0.000 0.000 0.000
H1 H 0.500 0.500 0.500
O1 O 0.000 0.000 0.500
```

Computed properties:
Total energy in eV/atom: -5.444
Total moment in μB per cell: 2.000